## NiBi3 (PBE)

Data for an optimized crystal structure of NiBi3.

Output
Calculated total energy ... -4.383 eV/atom
Spin magnetization ... 0.00 Bohr magnetons per cell
ΔH_f (0 K) ... -27 meV per atom
Energy relative to the lowest polymorph listed for this composition ... 0 meV/atom
DOS(E_F) ... 9.86 states/eV per cell

Lattice parameters (Å, degrees): 9.0145 4.1771 11.4304 90.00 90.00 90.00
Space group Pnma (No. 62)
Symmetry-distinct sites (fractional):
Ni  0.0882  0.2500  0.0191 x4
Bi  0.0904  0.7500  0.1781 x4
Bi  0.1198  0.7500  0.5875 x4
Bi  0.1990  0.7500  0.8893 x4